(1)
Entry from the Alexandria database: an optimized crystal structure of LiSc5Se6 (GGA-PBE).

Lattice parameters (Å, degrees): 6.707 6.684 6.681 59.99 80.41 70.55
Fractional positions:
Li  0.000  0.000  0.000
Sc  0.500  0.165  0.669
Sc  0.000  0.335  0.330
Sc  0.500  0.500  0.000
Sc  0.000  0.665  0.670
Sc  0.500  0.835  0.331
Se  0.752  0.082  0.330
Se  0.248  0.588  0.330
Se  0.245  0.246  0.000
Se  0.755  0.754  0.000
Se  0.752  0.412  0.670
Se  0.248  0.918  0.670

As for the symmetry: C2/m. The value obtained for the uncorrected energy is -73.91 eV per cell.



(2)
Entry from the Alexandria database: an optimized crystal structure of La2Sn3GeAu4 (GGA-PBE).

Lattice parameters (Å, degrees): 4.684 4.684 11.068 90.00 90.00 90.00
Fractional positions:
La  0.500  0.000  0.248
La  0.000  0.500  0.752
Sn  0.000  0.000  0.500
Sn  0.500  0.000  0.867
Sn  0.000  0.500  0.133
Ge  0.500  0.500  0.500
Au  0.500  0.500  0.000
Au  0.000  0.000  0.000
Au  0.500  0.000  0.627
Au  0.000  0.500  0.373

As for the symmetry: P-4m2. As for the energy of formation: -13.88 kcal/mol of atoms.



| no. | volume (Å³ per atom) | DOS(E_F) (states/eV/atom) |
| --- | --- | --- |
| 1 | 20.4 | 0.5039 |
| 2 | 24.3 | 0.4111 |